Entry 1:
Entry from Alexandria via LeMat-Bulk: a relaxed HoTm2AlAu4 crystal (PBE).

The structure in POSCAR format:
```
HoTm2AlAu4
1.0
2.450 1.414 8.150
-2.450 1.414 8.150
0.000 -2.829 8.150
Ho Tm Al Au
1 2 1 4
direct
0.000 0.000 0.000 Ho
0.244 0.244 0.244 Tm
0.756 0.756 0.756 Tm
0.500 0.500 0.500 Al
0.122 0.122 0.122 Au
0.382 0.382 0.382 Au
0.618 0.618 0.618 Au
0.878 0.878 0.878 Au
```

Density, g cm⁻³: 12.9
Space group: R-3m, No. 166
Crystal system: trigonal
VASP energy, eV per atom: -4.58
Energy of formation, eV/f.u.: -6.2
Total magnetic moment, μB/cell: 0.0



Entry 2:
Entry from Alexandria via LeMat-Bulk: a relaxed SrMgPaS4 crystal (PBE).

The structure in POSCAR format:
```
SrMgPaS4
1.0
-4.326 4.535 4.575
4.326 -4.535 4.575
4.326 4.535 -4.575
Sr Mg Pa S
2 2 2 8
direct
0.417 0.167 0.250 Sr
0.583 0.833 0.750 Sr
0.000 0.500 0.500 Mg
0.500 0.500 0.000 Mg
0.000 0.000 0.500 Pa
0.000 0.500 0.000 Pa
0.165 0.227 0.938 S
0.211 0.773 0.438 S
0.287 0.347 0.559 S
0.287 0.728 0.941 S
0.713 0.272 0.059 S
0.713 0.653 0.441 S
0.789 0.227 0.562 S
0.835 0.773 0.062 S
```

Density, g cm⁻³: 4.4
Energy relative to the elements, uncorrected, eV/f.u.: -11.43
Space group: Imma, No. 74
Crystal system: orthorhombic
VASP energy, eV per atom: -5.82
Total magnetic moment, μB/cell: 2.0